Below is Sr5Pt4 after structural relaxation, with properties calculated at the PBE-GGA level.

a b c (Å): 7.8883 15.6043 8.1371
angles (deg): 90.00 90.00 90.00
Positions (direct):
Pt 0.1566 0.5411 0.0262
Pt 0.1566 0.9589 0.0262
Pt 0.5366 0.7500 0.1055
Pt 0.2199 0.2500 0.1310
Pt 0.7199 0.2500 0.3690
Pt 0.0366 0.7500 0.3945
Pt 0.6566 0.5411 0.4738
Pt 0.6566 0.9589 0.4738
Pt 0.3434 0.0411 0.5262
Pt 0.3434 0.4589 0.5262
Pt 0.9634 0.2500 0.6055
Pt 0.2801 0.7500 0.6310
Pt 0.7801 0.7500 0.8690
Pt 0.4634 0.2500 0.8945
Pt 0.8434 0.0411 0.9738
Pt 0.8434 0.4589 0.9738
Sr 0.8358 0.2500 0.0112
Sr 0.8273 0.6211 0.1744
Sr 0.8273 0.8789 0.1744
Sr 0.5138 0.0971 0.1805
Sr 0.5138 0.4029 0.1805
Sr 0.0138 0.0971 0.3195
Sr 0.0138 0.4029 0.3195
Sr 0.3273 0.6211 0.3256
Sr 0.3273 0.8789 0.3256
Sr 0.3358 0.2500 0.4888
Sr 0.6642 0.7500 0.5112
Sr 0.6727 0.1211 0.6744
Sr 0.6727 0.3789 0.6744
Sr 0.9862 0.5971 0.6805
Sr 0.9862 0.9029 0.6805
Sr 0.4862 0.5971 0.8195
Sr 0.4862 0.9029 0.8195
Sr 0.1727 0.1211 0.8256
Sr 0.1727 0.3789 0.8256
Sr 0.1642 0.7500 0.9888

Summary:
VASP energy, eV/cell: -158.7